First-principles (GGA-PBE) data for a geometry-optimized YZr4Os structure, as listed in the Alexandria database.

## Properties
- formation energy (eV per atom) = 0.44

Lattice parameters (Å, degrees): 5.727 5.727 5.727 60.00 60.00 60.00
Atoms (fractional coordinates):
Y 0.000 0.000 0.000
Zr 0.128 0.624 0.624
Zr 0.624 0.128 0.624
Zr 0.624 0.624 0.128
Zr 0.624 0.624 0.624
Os 0.250 0.250 0.250


First-principles (GGA-PBE) data for a geometry-optimized Er8GeSb3Te4 structure, as listed in the Alexandria database.

## Properties
- E_form (uncorrected) (meV/atom) = -1202

Lattice parameters (Å, degrees): 8.654 8.654 8.654 59.84 59.84 59.84
Atoms (fractional coordinates):
Er 0.246 0.246 0.246
Er 0.258 0.735 0.735
Er 0.265 0.265 0.742
Er 0.265 0.742 0.265
Er 0.735 0.258 0.735
Er 0.735 0.735 0.258
Er 0.742 0.265 0.265
Er 0.754 0.754 0.754
Ge 0.500 0.500 0.500
Sb 0.000 0.000 0.500
Sb 0.000 0.500 0.000
Sb 0.500 0.000 0.000
Te 0.000 0.000 0.000
Te 0.000 0.500 0.500
Te 0.500 0.000 0.500
Te 0.500 0.500 0.000